# 1
Density functional theory data (GGA-PBE) for crystalline BaY2Rh2 at its relaxed geometry.

Values from the calculation:
Formation energy   -9.95 kcal/mol of atoms
Space-group type   P4/mbm

Structure (extended XYZ):
```
10
Lattice="8.346 0.000 0.000 0.000 8.346 0.000 0.000 0.000 3.611" Properties=species:S:1:pos:R:3 pbc="T T T"
Y 1.183 5.356 1.805
Y 5.356 7.163 1.805
Y 7.163 2.990 1.805
Y 2.990 1.183 1.805
Rh 2.986 7.159 0.000
Rh 7.159 5.360 0.000
Rh 5.360 1.187 0.000
Rh 1.187 2.986 0.000
Ba 0.000 0.000 0.000
Ba 4.173 4.173 0.000
```

# 2
Density functional theory data (GGA-PBE) for crystalline LaOsPb at its relaxed geometry.

Values from the calculation:
Formation energy   3.86 kcal/mol of atoms
Space-group type   P-6m2

Structure (extended XYZ):
```
3
Lattice="4.777 0.000 0.000 -2.388 4.137 0.000 0.000 0.000 3.842" Properties=species:S:1:pos:R:3 pbc="T T T"
La 0.000 0.000 3.841
Os 0.000 2.758 1.921
Pb 2.388 1.379 1.921
```

# 3
Density functional theory data (GGA-PBE) for crystalline Co2SiCl at its relaxed geometry.

Values from the calculation:
Energy relative to the elements, uncorrected   0.062 eV/atom
Space-group type   R-3m

Structure (extended XYZ):
```
4
Lattice="-2.495 -6.772 1.274 -0.904 -6.312 3.612 -3.597 -5.341 3.498" Properties=species:S:1:pos:R:3 pbc="T T T"
Cl -5.247 -13.819 6.288
Co -6.964 -18.342 8.347
Co -3.530 -9.295 4.230
Si -1.749 -4.606 2.096
```

| no. | E_tot (eV per atom) | total magnetization (Bohr magnetons per cell) |
| --- | --- | --- |
| 1 | -6.342 | 0.00 |
| 2 | -6.454 | 0.00 |
| 3 | -5.308 | 1.59 |